## Tb15Ho4Er (PBE)

Data for an optimized crystal structure of Tb15Ho4Er.

Geometry as POSCAR:
```
Tb15Ho4Er
1.0
5.013 0.000 0.000
0.000 5.013 0.000
0.000 0.000 25.047
Ho Tb Er
4 15 1
direct
0.000 0.000 0.200 Ho
0.000 0.000 0.600 Ho
0.000 0.000 0.400 Ho
0.000 0.000 0.800 Ho
0.500 0.000 0.100 Tb
0.000 0.500 0.100 Tb
0.500 0.000 0.300 Tb
0.500 0.500 0.400 Tb
0.500 0.000 0.700 Tb
0.500 0.000 0.500 Tb
0.500 0.500 0.200 Tb
0.500 0.500 0.800 Tb
0.000 0.500 0.700 Tb
0.500 0.500 0.000 Tb
0.000 0.500 0.900 Tb
0.500 0.500 0.600 Tb
0.000 0.500 0.500 Tb
0.000 0.500 0.300 Tb
0.500 0.000 0.900 Tb
0.000 0.000 0.000 Er
```

Properties
- formation enthalpy at 0 K (eV per atom) = 0.017